[1]
Below is a geometry-optimized TaP2S2 structure, with properties calculated at the PBE level.

Summary:
Symmetry = P4/mmm (123)
Formation energy without anion corrections = 0.8880 eV per atom
N(E_F) = 3.815 states/eV per cell

a b c (Å): 4.409 4.409 4.280
angles (deg): 90.00 90.00 90.00
Fractional coordinates of all 5 atoms:
S 0.000 0.000 0.000
S 0.000 0.000 0.500
P 0.000 0.500 0.000
P 0.500 0.000 0.000
Ta 0.500 0.500 0.500

=====

[2]
Below is a geometry-optimized BSbN2 structure, with properties calculated at the PBE level.

Summary:
Symmetry = R-3m (166)
Formation energy without anion corrections = 0.0912 eV per atom
N(E_F) = 0.002 states/eV per cell

a b c (Å): 5.512 5.512 5.512
angles (deg): 38.68 38.68 38.68
Fractional coordinates of all 4 atoms:
N 0.912 0.912 0.912
N 0.088 0.088 0.088
Sb 0.500 0.500 0.500
B 0.000 0.000 0.000

=====

[3]
Below is a geometry-optimized CeTmThSn structure, with properties calculated at the PBE level.

Summary:
DFT formation energy = -0.442 eV/f.u.
Symmetry = F-43m (216)
N(E_F) = 7.935 states/eV per cell

a b c (Å): 5.423 5.423 5.423
angles (deg): 60.00 60.00 60.00
Each line ends with the local moment (μB).
Fractional coordinates of all 4 atoms:
Tm 0.500 0.500 0.500  0.12
Sn 0.250 0.250 0.250  -0.02
Ce 0.750 0.750 0.750  0.67
Th 0.000 0.000 0.000  0.11

=====

[4]
Below is a geometry-optimized Sm2As3IrRh4 structure, with properties calculated at the PBE level.

Summary:
DFT formation energy = -7.497 eV/f.u.
Symmetry = P-4m2 (115)
N(E_F) = 8.600 states/eV per cell

a b c (Å): 4.208 4.208 10.338
angles (deg): 90.00 90.00 90.00
Fractional coordinates of all 10 atoms:
Sm 0.500 0.000 0.253
Sm 0.000 0.500 0.747
As 0.500 0.000 0.867
As 0.000 0.000 0.500
As 0.000 0.500 0.133
Rh 0.000 0.500 0.364
Rh 0.000 0.000 0.000
Rh 0.500 0.000 0.636
Rh 0.500 0.500 0.000
Ir 0.500 0.500 0.500

=====

[5]
Below is a geometry-optimized GaCu2ReB structure, with properties calculated at the PBE level.

Summary:
DFT formation energy = 7.847 eV/f.u.
Symmetry = P4/mmm (123)
N(E_F) = 2.905 states/eV per cell

a b c (Å): 4.458 3.746 4.458
angles (deg): 90.00 90.00 90.00
Each line ends with the local moment (μB).
Fractional coordinates of all 5 atoms:
Re 0.500 0.500 0.500  1.68
Cu 0.500 0.000 0.000  0.00
Cu 0.000 0.000 0.500  0.03
B 0.000 0.500 0.000  -0.04
Ga 0.000 0.000 0.000  0.00

=====

[6]
Below is a geometry-optimized CaLaAsSe2 structure, with properties calculated at the PBE level.

Summary:
Symmetry = P4/mmm (123)
Formation energy without anion corrections = -0.7187 eV per atom
N(E_F) = 3.823 states/eV per cell

a b c (Å): 5.320 5.320 5.213
angles (deg): 90.00 90.00 90.00
Fractional coordinates of all 5 atoms:
Se 0.500 0.000 0.000
Se 0.000 0.500 0.000
La 0.500 0.500 0.500
Ca 0.000 0.000 0.000
As 0.000 0.000 0.500

=====

[7]
Below is a geometry-optimized KTaNi3 structure, with properties calculated at the PBE level.

Summary:
DFT formation energy = 10.834 eV/f.u.
Symmetry = Pm-3m (221)
N(E_F) = 9.267 states/eV per cell

a b c (Å): 4.397 4.397 4.397
angles (deg): 90.00 90.00 90.00
Each line ends with the local moment (μB).
Fractional coordinates of all 5 atoms:
Ta 0.500 0.500 0.500  0.78
Ni 0.000 0.000 0.500  0.25
Ni 0.500 0.000 0.000  0.22
Ni 0.000 0.500 0.000  0.25
K 0.000 0.000 0.000  0.03

=====

[8]
Below is a geometry-optimized Co2HRh structure, with properties calculated at the PBE level.

Summary:
Total energy = -5.89 eV/atom
Symmetry = R-3m (166)
N(E_F) = 6.172 states/eV per cell

a b c (Å): 2.617 2.617 7.494
angles (deg): 79.94 79.94 60.00
Each line ends with the local moment (μB).
Fractional coordinates of all 4 atoms:
H 0.000 0.000 0.000  -0.02
Rh 0.500 0.500 0.500  0.68
Co 0.929 0.929 0.214  1.67
Co 0.071 0.071 0.786  1.67

=====

[9]
Below is a geometry-optimized CoMoRh2 structure, with properties calculated at the PBE level.

Summary:
DFT formation energy = 0.404 eV/f.u.
Symmetry = P4mm (99)
N(E_F) = 5.773 states/eV per cell

a b c (Å): 3.137 3.137 5.688
angles (deg): 90.00 90.00 90.00
Each line ends with the local moment (μB).
Fractional coordinates of all 4 atoms:
Rh 0.500 0.500 0.278  0.04
Rh 0.000 0.000 0.983  0.02
Co 0.000 0.000 0.521  0.07
Mo 0.500 0.500 0.718  -0.01

=====

[10]
Below is a geometry-optimized Ag3IrI2Cl6 structure, with properties calculated at the PBE level.

Summary:
Symmetry = C2/m (12)
Formation energy without anion corrections = -0.3586 eV per atom
N(E_F) = 11.272 states/eV per cell

a b c (Å): 6.031 7.588 8.010
angles (deg): 118.27 92.46 90.00
Fractional coordinates of all 12 atoms:
I 0.191 0.684 0.367
I 0.809 0.316 0.633
Cl 0.723 0.870 0.740
Cl 0.717 0.296 0.152
Cl 0.717 0.856 0.152
Cl 0.283 0.144 0.848
Cl 0.277 0.130 0.260
Cl 0.283 0.704 0.848
Ag 0.500 0.000 0.500
Ag 0.500 0.500 0.500
Ag 0.000 0.500 0.000
Ir 0.500 0.000 0.000

=====

[11]
Below is a geometry-optimized TaZnTc2Hg structure, with properties calculated at the PBE level.

Summary:
DFT formation energy = 7.349 eV/f.u.
Symmetry = P4/mmm (123)
N(E_F) = 3.594 states/eV per cell

a b c (Å): 4.603 4.515 4.603
angles (deg): 90.00 90.00 90.00
Each line ends with the local moment (μB).
Fractional coordinates of all 5 atoms:
Zn 0.000 0.000 0.000  0.01
Tc 0.000 0.000 0.500  1.14
Tc 0.500 0.000 0.000  0.89
Ta 0.500 0.500 0.500  -0.43
Hg 0.000 0.500 0.000  -0.01

=====

[12]
Below is a geometry-optimized Tl4Hg2SbPb2 structure, with properties calculated at the PBE level.

Summary:
Symmetry = P-1 (2)
Formation energy without anion corrections = 0.0274 eV per atom
N(E_F) = 3.989 states/eV per cell

a b c (Å): 7.860 8.075 5.978
angles (deg): 107.18 129.43 90.31
Fractional coordinates of all 9 atoms:
Pb 0.884 0.553 0.666
Pb 0.116 0.447 0.334
Tl 0.685 0.682 0.045
Tl 0.436 0.780 0.366
Tl 0.564 0.220 0.634
Tl 0.315 0.318 0.955
Hg 0.768 0.111 0.284
Hg 0.232 0.889 0.716
Sb 0.000 0.000 0.000